No. 1
A relaxed structure of Li5Cu2Ge2. Source: Alexandria, functional PBE.

Results
magnetization = 0.0 μB/cell
crystal system = trigonal
calculated formation energy = -308 meV/atom
symmetry = P-3m1 (164)

Unit cell a=4.2317 b=4.2317 c=8.1048 alpha=90.00 beta=90.00 gamma=120.00
Closest atoms and distances in Å follow each position.
Fractional coordinates of all 9 atoms:
1 Li 0.3333 0.6667 0.1138  4 Li 2.57-2.61, 4 Ge 2.65-2.88
2 Li 0.6667 0.3333 0.8862  4 Li 2.57-2.61, 4 Ge 2.65-2.88
3 Li 0.3333 0.6667 0.4315  4 Li 2.57-2.68, 3 Cu 2.65, 1 Ge 2.65
4 Li 0.6667 0.3333 0.5685  4 Li 2.57-2.68, 3 Cu 2.65, 1 Ge 2.65
5 Li 0.0000 0.0000 0.0000  2 Cu 2.48, 6 Li 2.61
6 Cu 0.0000 0.0000 0.3062  4 Li 2.48-2.65, 3 Ge 2.50
7 Cu 0.0000 0.0000 0.6938  4 Li 2.48-2.65, 3 Ge 2.50
8 Ge 0.3333 0.6667 0.7590  3 Cu 2.50, 4 Li 2.65
9 Ge 0.6667 0.3333 0.2410  3 Cu 2.50, 4 Li 2.65



No. 2
A relaxed structure of FeNiOs. Source: Alexandria, functional PBE.

Results
magnetization = 1.2 μB/cell
crystal system = hexagonal
calculated formation energy = 140 meV/atom
symmetry = P-6m2 (187)

Unit cell a=4.0465 b=4.0465 c=2.5504 alpha=90.00 beta=90.00 gamma=120.00
Closest atoms and distances in Å follow each position.
Fractional coordinates of all 3 atoms:
1 Fe 0.0000 0.0000 0.1668  3 Ni 2.34, 2 Fe 2.55
2 Ni 0.6667 0.3333 0.1666  3 Fe 2.34, 2 Ni 2.55
3 Os 0.3333 0.6667 0.6666  2 Os 2.55, 6 Fe 2.66, 6 Ni 2.66